{
  "formula": "NiBrNF2",
  "functional": "GGA+U",
  "state": "relaxed",
  "de_polymorph_mev_per_atom": 0,
  "vol_a3_per_cell": 73.5,
  "energy_ev_per_atom": -3.309,
  "lattice_angstrom": [[3.715, 0.000, 0.000], [0.000, 3.715, 0.000], [0.000, 0.000, 5.329]],
  "species": ["F", "F", "Br", "N", "Ni"],
  "frac_coords": [[0.000, 0.500, 0.000], [0.500, 0.000, 0.000], [0.500, 0.500, 0.500], [0.000, 0.000, 0.500], [0.000, 0.000, 0.000]]
}